A plane-wave DFT calculation with PBE-GGA was carried out for a relaxed structure of Pm2PrPuSb4.

Geometry as POSCAR:
```
Pm2PrPuSb4
1.0
6.3448 0.3453 0.0000
-0.3459 6.3448 0.0000
-2.9994 -3.3450 6.3549
Pm Pr Pu Sb
2 1 1 4
direct
0.1872 0.6872 0.5000
0.6872 0.1872 0.5000
0.9372 0.9372 0.0000
0.4372 0.4372 0.0000
0.9372 0.4372 0.0000
0.4372 0.9372 0.0000
0.1916 0.1916 0.5089
0.6827 0.6827 0.4911
```

## Properties
Formation energy (no corrections), eV per formula unit: -8.2
Space group: I4/mmm

***

A plane-wave DFT calculation with PBE-GGA was carried out for a relaxed structure of HfNb2V2Ru5.

Geometry as POSCAR:
```
HfNb2V2Ru5
1.0
-3.0765 -1.1967 1.5214
4.8003 -2.8556 7.4610
-1.2612 8.3243 3.9975
Hf Nb V Ru
2 4 4 10
direct
0.0000 0.0000 0.0000
0.0000 0.5000 0.5000
0.0000 0.6731 0.1731
0.0000 0.3269 0.8269
0.0000 0.1731 0.3269
0.0000 0.8269 0.6731
0.0000 0.1267 0.6267
0.0000 0.8733 0.3733
0.0000 0.6267 0.8733
0.0000 0.3733 0.1267
0.5000 0.2076 0.0684
0.5000 0.7924 0.9316
0.5000 0.0684 0.7924
0.5000 0.7076 0.4316
0.5000 0.9316 0.2076
0.5000 0.2924 0.5684
0.5000 0.5684 0.7076
0.5000 0.4316 0.2924
0.5000 0.5000 0.0000
0.5000 0.0000 0.5000
```

## Properties
ΔH_f (0 K), meV/atom: -176
Space group: P4/mbm

***

| no. | E (eV/atom) |
| --- | --- |
| 1 | -6.668 |
| 2 | -9.647 |